# K2TlIr | Alexandria via LeMat-Bulk | PBE | optimized geometry
# ρ ... 7.4 g cm⁻³
# Density of states at the Fermi level ... 1.84 states/eV/f.u.
# Volume ... 26.64 A^3/atom
# Energy of formation ... 0.730 eV/atom
data_K2TlIr
_cell_length_a 4.267
_cell_length_b 4.267
_cell_length_c 23.413
_cell_angle_alpha 90.00
_cell_angle_beta 90.00
_cell_angle_gamma 90.00
_space_group_name_H-M_alt 'I -4 2 d'
_space_group_IT_number 122
_space_group_name_Hall 'I -4 2bw'
loop_
_atom_site_label
_atom_site_type_symbol
_atom_site_fract_x
_atom_site_fract_y
_atom_site_fract_z
K1 K 0.240 0.250 0.125
Tl1 Tl 0.000 0.000 0.500
Ir1 Ir 0.000 0.000 0.000

# KTl2Ir | Alexandria via LeMat-Bulk | PBE | optimized geometry
# ρ ... 10.6 g cm⁻³
# Density of states at the Fermi level ... 1.34 states/eV/f.u.
# Volume ... 25.03 A^3/atom
# Energy of formation ... 0.211 eV/atom
data_KTl2Ir
_cell_length_a 3.367
_cell_length_b 3.367
_cell_length_c 8.833
_cell_angle_alpha 90.00
_cell_angle_beta 90.00
_cell_angle_gamma 90.00
_space_group_name_H-M_alt 'P 4/m m m'
_space_group_IT_number 123
_space_group_name_Hall '-P 4 2'
loop_
_atom_site_label
_atom_site_type_symbol
_atom_site_fract_x
_atom_site_fract_y
_atom_site_fract_z
K1 K 0.000 0.000 0.000
Tl1 Tl 0.500 0.500 0.304
Ir1 Ir 0.000 0.000 0.500

# KTl2Ir | Alexandria via LeMat-Bulk | PBE | optimized geometry
# ρ ... 8.8 g cm⁻³
# Density of states at the Fermi level ... 2.28 states/eV/f.u.
# Volume ... 30.36 A^3/atom
# Energy of formation ... 0.189 eV/atom
data_KTl2Ir
_cell_length_a 4.5724
_cell_length_b 4.5724
_cell_length_c 20.1159
_cell_angle_alpha 90.00
_cell_angle_beta 90.00
_cell_angle_gamma 120.00
_space_group_name_H-M_alt 'R 3 m'
_space_group_IT_number 160
_space_group_name_Hall 'R 3 -2"'
loop_
_atom_site_label
_atom_site_type_symbol
_atom_site_fract_x
_atom_site_fract_y
_atom_site_fract_z
K1 K 0.0000 0.0000 0.0000
Tl1 Tl 0.0000 0.0000 0.2106
Tl2 Tl 0.0000 0.0000 0.4463
Ir1 Ir 0.0000 0.0000 0.8249

# K2TlIr | Alexandria via LeMat-Bulk | PBE | optimized geometry
# ρ ... 5.6 g cm⁻³
# Density of states at the Fermi level ... 3.11 states/eV/f.u.
# Volume ... 35.34 A^3/atom
# Energy of formation ... 0.400 eV/atom
data_K2TlIr
_cell_length_a 4.437
_cell_length_b 5.262
_cell_length_c 12.111
_cell_angle_alpha 90.00
_cell_angle_beta 90.00
_cell_angle_gamma 90.00
_space_group_name_H-M_alt 'A m m 2'
_space_group_IT_number 38
loop_
_space_group_symop_operation_xyz
'x,y,z'
'-x,-y,z'
'-x,y,z'
'x,-y,z'
'x,y+1/2,z+1/2'
'-x,-y+1/2,z+1/2'
'-x,y+1/2,z+1/2'
'x,-y+1/2,z+1/2'
loop_
_atom_site_label
_atom_site_type_symbol
_atom_site_fract_x
_atom_site_fract_y
_atom_site_fract_z
K1 K 0.000 0.000 0.000
K2 K 0.500 0.000 0.288
Tl1 Tl 0.000 0.000 0.700
Ir1 Ir 0.500 0.000 0.579

# K2TlIr | Alexandria via LeMat-Bulk | PBE | optimized geometry
# ρ ... 7.2 g cm⁻³
# Density of states at the Fermi level ... 1.40 states/eV/f.u.
# Volume ... 27.40 A^3/atom
# Energy of formation ... 0.616 eV/atom
data_K2TlIr
_cell_length_a 5.704
_cell_length_b 10.516
_cell_length_c 3.655
_cell_angle_alpha 90.00
_cell_angle_beta 91.42
_cell_angle_gamma 90.00
_space_group_name_H-M_alt 'C 1 2/m 1'
_space_group_IT_number 12
loop_
_space_group_symop_operation_xyz
'x,y,z'
'-x,-y,-z'
'-x,y,-z'
'x,-y,z'
'x+1/2,y+1/2,z'
'-x+1/2,-y+1/2,-z'
'-x+1/2,y+1/2,-z'
'x+1/2,-y+1/2,z'
loop_
_atom_site_label
_atom_site_type_symbol
_atom_site_fract_x
_atom_site_fract_y
_atom_site_fract_z
K1 K 0.250 0.250 0.000
Tl1 Tl 0.000 0.000 0.500
Ir1 Ir 0.000 0.500 0.500

# KTl2Ir | Alexandria via LeMat-Bulk | PBE | optimized geometry
# ρ ... 10.6 g cm⁻³
# Density of states at the Fermi level ... 3.07 states/eV/f.u.
# Volume ... 24.98 A^3/atom
# Energy of formation ... 0.593 eV/atom
data_KTl2Ir
_cell_length_a 4.553
_cell_length_b 4.553
_cell_length_c 9.640
_cell_angle_alpha 90.00
_cell_angle_beta 90.00
_cell_angle_gamma 90.00
_space_group_name_H-M_alt 'I -4 m 2'
_space_group_IT_number 119
_space_group_name_Hall 'I -4 -2'
loop_
_atom_site_label
_atom_site_type_symbol
_atom_site_fract_x
_atom_site_fract_y
_atom_site_fract_z
K1 K 0.000 0.000 0.000
Tl1 Tl 0.000 0.000 0.500
Tl2 Tl 0.000 0.500 0.750
Ir1 Ir 0.000 0.500 0.250

# KTl2Ir | Alexandria via LeMat-Bulk | PBE | optimized geometry
# ρ ... 9.2 g cm⁻³
# Density of states at the Fermi level ... 2.50 states/eV/f.u.
# Volume ... 29.01 A^3/atom
# Energy of formation ... 0.214 eV/atom
data_KTl2Ir
_cell_length_a 3.180
_cell_length_b 4.544
_cell_length_c 16.060
_cell_angle_alpha 90.00
_cell_angle_beta 90.00
_cell_angle_gamma 90.00
_space_group_name_H-M_alt 'I m m 2'
_space_group_IT_number 44
loop_
_space_group_symop_operation_xyz
'x,y,z'
'-x,-y,z'
'-x,y,z'
'x,-y,z'
'x+1/2,y+1/2,z+1/2'
'-x+1/2,-y+1/2,z+1/2'
'-x+1/2,y+1/2,z+1/2'
'x+1/2,-y+1/2,z+1/2'
loop_
_atom_site_label
_atom_site_type_symbol
_atom_site_fract_x
_atom_site_fract_y
_atom_site_fract_z
K1 K 0.000 0.000 0.000
Tl1 Tl 0.000 0.000 0.658
Tl2 Tl 0.000 0.500 0.822
Ir1 Ir 0.000 0.500 0.310

# KTl2Ir | Alexandria via LeMat-Bulk | PBE | optimized geometry
# ρ ... 10.5 g cm⁻³
# Density of states at the Fermi level ... 4.35 states/eV/f.u.
# Volume ... 25.34 A^3/atom
# Energy of formation ... 0.627 eV/atom
data_KTl2Ir
_cell_length_a 7.401
_cell_length_b 7.401
_cell_length_c 7.401
_cell_angle_alpha 90.00
_cell_angle_beta 90.00
_cell_angle_gamma 90.00
_space_group_name_H-M_alt 'F -4 3 m'
_space_group_IT_number 216
_space_group_name_Hall 'F -4 2 3'
loop_
_atom_site_label
_atom_site_type_symbol
_atom_site_fract_x
_atom_site_fract_y
_atom_site_fract_z
K1 K 0.000 0.000 0.000
Tl1 Tl 0.000 0.000 0.500
Tl2 Tl 0.250 0.250 0.750
Ir1 Ir 0.250 0.250 0.250

# K2TlIr | Alexandria via LeMat-Bulk | PBE | optimized geometry
# ρ ... 7.6 g cm⁻³
# Density of states at the Fermi level ... 1.74 states/eV/f.u.
# Volume ... 25.93 A^3/atom
# Energy of formation ... 0.590 eV/atom
data_K2TlIr
_cell_length_a 4.358
_cell_length_b 4.376
_cell_length_c 10.878
_cell_angle_alpha 90.00
_cell_angle_beta 90.00
_cell_angle_gamma 90.00
_space_group_name_H-M_alt 'I m m m'
_space_group_IT_number 71
_space_group_name_Hall '-I 2 2'
loop_
_atom_site_label
_atom_site_type_symbol
_atom_site_fract_x
_atom_site_fract_y
_atom_site_fract_z
K1 K 0.000 0.000 0.249
Tl1 Tl 0.000 0.500 0.000
Ir1 Ir 0.000 0.500 0.500

# K2TlIr | Alexandria via LeMat-Bulk | PBE | optimized geometry
# ρ ... 5.5 g cm⁻³
# Density of states at the Fermi level ... 2.76 states/eV/f.u.
# Volume ... 35.76 A^3/atom
# Energy of formation ... 0.274 eV/atom
data_K2TlIr
_cell_length_a 20.110
_cell_length_b 3.311
_cell_length_c 4.402
_cell_angle_alpha 90.00
_cell_angle_beta 102.58
_cell_angle_gamma 90.00
_space_group_name_H-M_alt 'C 1 2/m 1'
_space_group_IT_number 12
loop_
_space_group_symop_operation_xyz
'x,y,z'
'-x,-y,-z'
'-x,y,-z'
'x,-y,z'
'x+1/2,y+1/2,z'
'-x+1/2,-y+1/2,-z'
'-x+1/2,y+1/2,-z'
'x+1/2,-y+1/2,z'
loop_
_atom_site_label
_atom_site_type_symbol
_atom_site_fract_x
_atom_site_fract_y
_atom_site_fract_z
K1 K 0.147 0.000 0.146
Tl1 Tl 0.000 0.000 0.500
Ir1 Ir 0.000 0.500 0.000

# KTlIr | Alexandria via LeMat-Bulk | PBE | optimized geometry
# ρ ... 10.4 g cm⁻³
# Density of states at the Fermi level ... 2.10 states/eV/f.u.
# Volume ... 23.16 A^3/atom
# Energy of formation ... 0.630 eV/atom
data_KTlIr
_cell_length_a 5.2212
_cell_length_b 5.2212
_cell_length_c 2.9431
_cell_angle_alpha 90.00
_cell_angle_beta 90.00
_cell_angle_gamma 120.00
_space_group_name_H-M_alt 'P -6 m 2'
_space_group_IT_number 187
_space_group_name_Hall 'P -6 2'
loop_
_atom_site_label
_atom_site_type_symbol
_atom_site_fract_x
_atom_site_fract_y
_atom_site_fract_z
K1 K 0.0000 0.0000 0.0000
Tl1 Tl 0.6667 0.3333 0.5000
Ir1 Ir 0.3333 0.6667 0.5000

# KTl2Ir | Alexandria via LeMat-Bulk | PBE | optimized geometry
# ρ ... 9.4 g cm⁻³
# Density of states at the Fermi level ... 1.62 states/eV/f.u.
# Volume ... 28.30 A^3/atom
# Energy of formation ... 0.347 eV/atom
data_KTl2Ir
_cell_length_a 4.001
_cell_length_b 5.864
_cell_length_c 9.649
_cell_angle_alpha 90.00
_cell_angle_beta 90.00
_cell_angle_gamma 90.00
_space_group_name_H-M_alt 'I m m m'
_space_group_IT_number 71
_space_group_name_Hall '-I 2 2'
loop_
_atom_site_label
_atom_site_type_symbol
_atom_site_fract_x
_atom_site_fract_y
_atom_site_fract_z
K1 K 0.000 0.000 0.000
Tl1 Tl 0.000 0.500 0.196
Ir1 Ir 0.000 0.000 0.500

What is the volume in the seventh record?
29.01 A^3/atom

Among the records above, which one has the highest volume?
number 10

Which of these has the highest volume?
number 10

What is the ρ in the fourth record?
5.6 g cm⁻³